Entry 1:
The following is a PBE calculation of an optimized crystal structure of Pr3BiTe, from the Alexandria database.

Properties
**Symmetry**: P-1
**ΔE_f (raw)**: -668 meV per atom
**V**: 41.74 A^3/atom
**ΔE to the lowest computed polymorph**: 295 meV/atom
**Spin magnetization**: 0.000 μB/f.u.

a = 4.4521 Å, b = 9.3470 Å, c = 10.8607 Å
α = 107.51°, β = 90.05°, γ = 103.74°
Last column: nearest neighbours and their distance in Å.
Fractional coordinates of all 10 atoms:
Bi: 0.6246 0.2487 0.3499  6 Pr 3.19-3.40
Bi: 0.3754 0.7513 0.6501  6 Pr 3.19-3.40
Pr: 0.0122 0.0241 0.1731  1 Te 3.16, 2 Bi 3.22
Pr: 0.3489 0.6978 0.9461  3 Te 3.18-3.25, 1 Bi 3.40
Pr: 0.1850 0.3689 0.5685  1 Te 3.12, 3 Bi 3.19-3.31
Pr: 0.6511 0.3022 0.0539  3 Te 3.18-3.25, 1 Bi 3.40
Pr: 0.9878 0.9759 0.8269  1 Te 3.16, 2 Bi 3.22
Pr: 0.8150 0.6311 0.4315  1 Te 3.12, 3 Bi 3.19-3.31
Te: 0.1645 0.3299 0.8436  5 Pr 3.12-3.25
Te: 0.8355 0.6701 0.1564  5 Pr 3.12-3.25

Entry 2:
The following is a PBE calculation of an optimized crystal structure of Pm8Co2Ru, from the Alexandria database.

Properties
**Symmetry**: C2/m
**V**: 26.77 A^3/atom
**ΔE to the lowest computed polymorph**: 0 meV/atom
**Spin magnetization**: 0.000 μB/f.u.
**Formation enthalpy at 0 K**: -0.06 eV per atom

a = 5.1030 Å, b = 6.6941 Å, c = 9.1344 Å
α = 100.15°, β = 106.22°, γ = 90.00°
Last column: nearest neighbours and their distance in Å.
Fractional coordinates of all 11 atoms:
Pm: 0.9552 0.2109 0.9105  1 Co 2.98, 2 Ru 3.09
Pm: 0.3291 0.0374 0.6583  1 Co 2.63
Pm: 0.1996 0.3420 0.3991  1 Co 2.61
Pm: 0.4130 0.5745 0.8260  1 Ru 2.97
Pm: 0.0448 0.7891 0.0895  1 Co 2.98, 2 Ru 3.09
Pm: 0.6709 0.9626 0.3417  1 Co 2.63
Pm: 0.8004 0.6580 0.6009  1 Co 2.61
Pm: 0.5870 0.4255 0.1740  1 Ru 2.97
Ru: 0.5000 0.0000 0.0000  8 Pm 2.97-3.09
Co: 0.7902 0.2642 0.5804  2 Pm 2.61-2.63
Co: 0.2098 0.7358 0.4196  2 Pm 2.61-2.63

Entry 3:
The following is a PBE calculation of an optimized crystal structure of RbBe3Tc, from the Alexandria database.

Properties
**Symmetry**: Pm-3m
**V**: 19.17 A^3/atom
**ΔE to the lowest computed polymorph**: 0 meV/atom
**Spin magnetization**: 0.000 μB/f.u.
**Formation enthalpy at 0 K**: 0.97 eV per atom

a = 4.5765 Å, b = 4.5765 Å, c = 4.5765 Å
α = 90.00°, β = 90.00°, γ = 90.00°
Last column: nearest neighbours and their distance in Å.
Fractional coordinates of all 5 atoms:
Rb: 0.5000 0.5000 0.5000  12 Be 3.24
Be: 0.0000 0.0000 0.5000  2 Tc 2.29
Be: 0.5000 0.0000 0.0000  2 Tc 2.29
Be: 0.0000 0.5000 0.0000  2 Tc 2.29
Tc: 0.0000 0.0000 0.0000  6 Be 2.29

Entry 4:
The following is a PBE calculation of an optimized crystal structure of TmZr5Ir6, from the Alexandria database.

Properties
**Symmetry**: C2/m
**V**: 18.26 A^3/atom
**Spin magnetization**: 0.000 μB/f.u.
**Formation enthalpy at 0 K**: -0.80 eV per atom

a = 4.8987 Å, b = 6.2156 Å, c = 8.2154 Å
α = 67.77°, β = 72.57°, γ = 90.00°
Last column: nearest neighbours and their distance in Å.
Fractional coordinates of all 12 atoms:
Ir: 0.1265 0.4214 0.6654  7 Zr 2.82-2.99, 1 Tm 2.89, 3 Ir 3.06-3.16
Ir: 0.8735 0.5786 0.3346  7 Zr 2.82-2.99, 1 Tm 2.89, 3 Ir 3.06-3.16
Ir: 0.1265 0.9133 0.6654  7 Zr 2.82-2.99, 1 Tm 2.89, 3 Ir 3.06-3.16
Ir: 0.8735 0.0867 0.3346  7 Zr 2.82-2.99, 1 Tm 2.89, 3 Ir 3.06-3.16
Ir: 0.5000 0.7445 0.0000  6 Zr 2.85-2.89, 2 Tm 2.92, 2 Ir 3.04-3.18
Ir: 0.5000 0.2555 0.0000  6 Zr 2.85-2.89, 2 Tm 2.92, 2 Ir 3.04-3.18
Zr: 0.6426 0.6674 0.6652  8 Ir 2.82-2.95, 2 Zr 3.11
Zr: 0.3574 0.3326 0.3348  8 Ir 2.82-2.95, 2 Zr 3.11
Zr: 0.3559 0.8322 0.3355  8 Ir 2.84-2.99, 2 Zr 3.11
Zr: 0.6441 0.1678 0.6645  8 Ir 2.84-2.99, 2 Zr 3.11
Zr: 0.0000 0.5000 0.0000  8 Ir 2.86-2.88, 2 Tm 3.11
Tm: 0.0000 0.0000 0.0000  8 Ir 2.89-2.92, 2 Zr 3.11

Entry 5:
The following is a PBE calculation of an optimized crystal structure of Nd12CuRu6, from the Alexandria database.

Properties
**Symmetry**: R-3
**V**: 29.05 A^3/atom
**Spin magnetization**: 0.000 μB/f.u.
**Formation enthalpy at 0 K**: -0.07 eV per atom

a = 8.3551 Å, b = 8.3551 Å, c = 8.3551 Å
α = 100.18°, β = 100.18°, γ = 100.18°
Last column: nearest neighbours and their distance in Å.
Fractional coordinates of all 19 atoms:
Cu: 0.0000 0.0000 0.0000  6 Nd 2.87
Ru: 0.3902 0.7004 0.8669  5 Nd 2.75-3.01
Ru: 0.1331 0.6098 0.2996  5 Nd 2.75-3.01
Ru: 0.2996 0.1331 0.6098  5 Nd 2.75-3.01
Ru: 0.6098 0.2996 0.1331  5 Nd 2.75-3.01
Ru: 0.8669 0.3902 0.7004  5 Nd 2.75-3.01
Ru: 0.7004 0.8669 0.3902  5 Nd 2.75-3.01
Nd: 0.5645 0.1792 0.4139  3 Ru 2.77-3.01
Nd: 0.4139 0.5645 0.1792  3 Ru 2.77-3.01
Nd: 0.9155 0.0630 0.6727  2 Ru 2.75-2.81, 1 Cu 2.87
Nd: 0.0845 0.9370 0.3273  2 Ru 2.75-2.81, 1 Cu 2.87
Nd: 0.5861 0.4355 0.8208  3 Ru 2.77-3.01
Nd: 0.0630 0.6727 0.9155  2 Ru 2.75-2.81, 1 Cu 2.87
Nd: 0.6727 0.9155 0.0630  2 Ru 2.75-2.81, 1 Cu 2.87
Nd: 0.3273 0.0845 0.9370  2 Ru 2.75-2.81, 1 Cu 2.87
Nd: 0.1792 0.4139 0.5645  3 Ru 2.77-3.01
Nd: 0.8208 0.5861 0.4355  3 Ru 2.77-3.01
Nd: 0.4355 0.8208 0.5861  3 Ru 2.77-3.01
Nd: 0.9370 0.3273 0.0845  2 Ru 2.75-2.81, 1 Cu 2.87

Entry 6:
The following is a PBE calculation of an optimized crystal structure of MgS2N2, from the Alexandria database.

Properties
**Symmetry**: I4/mmm
**ΔE_f (raw)**: 389 meV per atom
**V**: 16.31 A^3/atom
**ΔE to the lowest computed polymorph**: 0 meV/atom
**Spin magnetization**: 0.000 μB/f.u.

a = 4.5311 Å, b = 4.5311 Å, c = 5.1032 Å
α = 63.64°, β = 63.64°, γ = 90.00°
Last column: nearest neighbours and their distance in Å.
Fractional coordinates of all 5 atoms:
S: 0.7500 0.2500 0.5000  4 N 2.68
S: 0.2500 0.7500 0.5000  4 N 2.68
Mg: 0.0000 0.0000 0.0000  8 S 3.01, 8 N 3.25
N: 0.5709 0.5709 0.8581  1 N 1.13
N: 0.4291 0.4291 0.1419  1 N 1.13

Entry 7:
The following is a PBE calculation of an optimized crystal structure of SnBiMo, from the Alexandria database.

Properties
**Symmetry**: Cmce
**V**: 23.93 A^3/atom
**ΔE to the lowest computed polymorph**: 226 meV/atom
**Spin magnetization**: 0.594 μB/f.u.
**Formation enthalpy at 0 K**: 0.42 eV per atom

a = 6.0305 Å, b = 7.4077 Å, c = 7.0363 Å
α = 90.00°, β = 90.00°, γ = 114.02°
Last column: nearest neighbours and their distance in Å.
Fractional coordinates of all 12 atoms:
Bi: 0.1937 0.8874 0.7500  4 Mo 2.90-2.93, 2 Bi 3.02
Bi: 0.6937 0.8874 0.7500  4 Mo 2.90-2.93, 2 Bi 3.02
Bi: 0.8063 0.1126 0.2500  4 Mo 2.90-2.93, 2 Bi 3.02
Bi: 0.3063 0.1126 0.2500  4 Mo 2.90-2.93, 2 Bi 3.02
Mo: 0.8912 0.7824 0.0882  2 Sn 2.68-2.76, 4 Bi 2.90-2.93
Mo: 0.3912 0.7824 0.4118  2 Sn 2.68-2.76, 4 Bi 2.90-2.93
Mo: 0.1088 0.2176 0.9118  2 Sn 2.68-2.76, 4 Bi 2.90-2.93
Mo: 0.6088 0.2176 0.5882  2 Sn 2.68-2.76, 4 Bi 2.90-2.93
Sn: 0.7927 0.5854 0.4189  2 Mo 2.68-2.76
Sn: 0.2073 0.4146 0.5811  2 Mo 2.68-2.76
Sn: 0.2927 0.5854 0.0811  2 Mo 2.68-2.76
Sn: 0.7073 0.4146 0.9189  2 Mo 2.68-2.76

Entry 8:
The following is a PBE calculation of an optimized crystal structure of K3Tb3TiSe8, from the Alexandria database.

Properties
**Symmetry**: R-3m
**ΔE_f (raw)**: -1600 meV per atom
**V**: 30.43 A^3/atom
**Spin magnetization**: 0.000 μB/f.u.

a = 8.1940 Å, b = 8.1936 Å, c = 9.1652 Å
α = 116.55°, β = 90.00°, γ = 120.00°
Last column: nearest neighbours and their distance in Å.
Fractional coordinates of all 15 atoms:
K: 0.0000 0.5000 0.0000  6 Se 3.30-3.32
K: 0.5000 0.5000 0.0000  6 Se 3.30-3.32
K: 0.0000 0.0000 0.0000  6 Se 3.30-3.32
Se: 0.2174 0.4347 0.6921  1 Ti 2.65, 2 Tb 2.89
Se: 0.2642 0.5284 0.2927  3 Tb 2.87
Se: 0.2425 0.0252 0.3079  1 Ti 2.65, 2 Tb 2.89
Se: 0.7575 0.9748 0.6921  1 Ti 2.65, 2 Tb 2.89
Se: 0.7827 0.0252 0.3079  1 Ti 2.65, 2 Tb 2.89
Se: 0.7826 0.5653 0.3079  1 Ti 2.65, 2 Tb 2.89
Se: 0.2173 0.9748 0.6921  1 Ti 2.65, 2 Tb 2.89
Se: 0.7358 0.4716 0.7073  3 Tb 2.87
Tb: 0.5000 0.0000 0.5000  6 Se 2.87-2.89
Tb: 0.0000 0.5000 0.5000  6 Se 2.87-2.89
Tb: 0.5000 0.5000 0.5000  6 Se 2.87-2.89
Ti: 0.0000 0.0000 0.5000  6 Se 2.65

Entry 9:
The following is a PBE calculation of an optimized crystal structure of BeCuSi2, from the Alexandria database.

Properties
**Symmetry**: Immm
**ΔE_f (raw)**: 339 meV per atom
**V**: 12.71 A^3/atom
**Spin magnetization**: 0.000 μB/f.u.

a = 5.0475 Å, b = 5.0475 Å, c = 5.0475 Å
α = 151.68°, β = 122.73°, γ = 65.10°
Last column: nearest neighbours and their distance in Å.
Fractional coordinates of all 4 atoms:
Si: 0.9918 0.9918 0.0000  2 Be 2.40, 2 Si 2.47, 2 Cu 2.52
Si: 0.5082 0.5082 0.0000  2 Be 2.40, 2 Si 2.47, 2 Cu 2.52
Cu: 0.2500 0.7500 0.5000  2 Cu 2.47, 4 Si 2.52, 4 Be 2.72
Be: 0.7500 0.2500 0.5000  4 Si 2.40, 2 Be 2.47

Entry 10:
The following is a PBE calculation of an optimized crystal structure of La3RhAu2, from the Alexandria database.

Properties
**Symmetry**: C2/m
**V**: 28.72 A^3/atom
**Spin magnetization**: 0.000 μB/f.u.
**Formation enthalpy at 0 K**: -0.78 eV per atom

a = 7.4942 Å, b = 7.5648 Å, c = 7.4341 Å
α = 80.67°, β = 59.73°, γ = 71.25°
Last column: nearest neighbours and their distance in Å.
Fractional coordinates of all 12 atoms:
La: 0.4322 0.7643 0.6466  2 Rh 2.93-2.94, 4 Au 3.12-3.20
La: 0.9211 0.2357 0.6466  2 Rh 2.93-2.94, 4 Au 3.12-3.20
La: 0.2802 0.2208 0.0000  2 Rh 2.91, 4 Au 3.07-3.15
La: 0.0789 0.7643 0.3534  2 Rh 2.93-2.94, 4 Au 3.12-3.20
La: 0.5678 0.2357 0.3534  2 Rh 2.93-2.94, 4 Au 3.12-3.20
La: 0.7198 0.7792 0.0000  2 Rh 2.91, 4 Au 3.07-3.15
Rh: 0.3308 0.0000 0.3383  6 La 2.91-2.94
Rh: 0.6692 0.0000 0.6617  6 La 2.91-2.94
Au: 0.8463 0.5000 0.3075  6 La 3.12-3.20
Au: 0.0000 0.0000 0.0000  6 La 3.08-3.13
Au: 0.5000 0.5000 0.0000  6 La 3.07-3.19
Au: 0.1537 0.5000 0.6925  6 La 3.12-3.20

Entry 11:
The following is a PBE calculation of an optimized crystal structure of La4Pr10Mg, from the Alexandria database.

Properties
**Symmetry**: I4/m
**V**: 37.03 A^3/atom
**Spin magnetization**: 0.000 μB/f.u.
**Formation enthalpy at 0 K**: 0.29 eV per atom

a = 10.7361 Å, b = 8.9755 Å, c = 8.9755 Å
α = 69.04°, β = 53.27°, γ = 53.27°
Last column: nearest neighbours and their distance in Å.
Fractional coordinates of all 15 atoms:
La: 0.6747 0.2661 0.3846  2 Pr 3.27, 1 Mg 3.36
La: 0.0592 0.6154 0.2661  2 Pr 3.27, 1 Mg 3.36
La: 0.3253 0.7339 0.6154  2 Pr 3.27, 1 Mg 3.36
La: 0.9408 0.3846 0.7339  2 Pr 3.27, 1 Mg 3.36
Pr: 0.2238 0.3209 0.9069  5 Pr 3.33-3.49
Pr: 0.4516 0.6791 0.0931  5 Pr 3.33-3.49
Pr: 0.5447 0.9069 0.6791  5 Pr 3.33-3.49
Pr: 0.2500 0.5000 0.5000  4 La 3.27, 4 Pr 3.33
Pr: 0.1307 0.0931 0.3209  5 Pr 3.33-3.49
Pr: 0.7762 0.6791 0.0931  5 Pr 3.33-3.49
Pr: 0.4553 0.0931 0.3209  5 Pr 3.33-3.49
Pr: 0.5484 0.3209 0.9069  5 Pr 3.33-3.49
Pr: 0.7500 0.5000 0.5000  4 La 3.27, 4 Pr 3.33
Pr: 0.8693 0.9069 0.6791  5 Pr 3.33-3.49
Mg: 0.0000 0.0000 0.0000  4 La 3.36

Entry 12:
The following is a PBE calculation of an optimized crystal structure of SrLi2W, from the Alexandria database.

Properties
**Symmetry**: Fm-3m
**V**: 22.77 A^3/atom
**ΔE to the lowest computed polymorph**: 313 meV/atom
**Spin magnetization**: 3.255 μB/f.u.
**Formation enthalpy at 0 K**: 1.04 eV per atom

a = 5.0505 Å, b = 5.0505 Å, c = 5.0505 Å
α = 60.00°, β = 60.00°, γ = 60.00°
Last column: nearest neighbours and their distance in Å.
Fractional coordinates of all 4 atoms:
Li: 0.7500 0.7500 0.7500  4 W 3.09, 4 Sr 3.09
Li: 0.2500 0.2500 0.2500  4 W 3.09, 4 Sr 3.09
Sr: 0.0000 0.0000 0.0000  8 Li 3.09
W: 0.5000 0.5000 0.5000  8 Li 3.09